# 1
Material: TaRuW4
Method: DFT, PBE-GGA
State: optimized geometry

Cell: 5.241 5.241 5.241 Å, 60.00 60.00 60.00°
Sites, in units of the cell vectors:
1 Ta 0.000 0.000 0.000
2 Ru 0.750 0.750 0.750
3 W 0.878 0.374 0.374
4 W 0.374 0.374 0.878
5 W 0.374 0.878 0.374
6 W 0.374 0.374 0.374

Output
Space group: F-43m (216)

***

# 2
Material: Ta2RuW
Method: DFT, PBE-GGA
State: optimized geometry

Cell: 3.208 3.208 6.425 Å, 90.00 90.00 90.00°
Sites, in units of the cell vectors:
1 Ru 0.500 0.500 0.750
2 W 0.500 0.500 0.250
3 Ta 0.000 0.000 0.001
4 Ta 0.000 0.000 0.499

Output
Space group: P4/mmm (123)

***

# 3
Material: Ta2RuW
Method: DFT, PBE-GGA
State: optimized geometry

Cell: 5.348 5.348 4.505 Å, 65.05 65.05 34.97°
Sites, in units of the cell vectors:
1 Ru 0.250 0.250 0.251
2 Ta 0.998 0.998 0.002
3 Ta 0.753 0.753 0.747
4 W 0.499 0.499 0.501

Output
Space group: Imm2 (44)

***

# 4
Material: Ta2RuW
Method: DFT, PBE-GGA
State: optimized geometry

Cell: 4.535 4.535 4.535 Å, 60.00 60.00 60.00°
Sites, in units of the cell vectors:
1 Ru 0.250 0.250 0.250
2 W 0.750 0.750 0.750
3 Ta 0.000 0.000 0.000
4 Ta 0.500 0.500 0.500

Output
Space group: Fm-3m (225)

***

Asked for VASP energy across the records above, the calculation gives -11.821, -11.773, -11.650, -11.766 eV/atom in order.
Asked for density across the records above, the calculation gives 16.6, 16.2, 16.2, 16.3 g cm⁻³ in order.
Asked for D(E_F) across the records above, the calculation gives 8.89, 1.90, 3.18, 1.08 states/eV per cell in order.